1.
Here is a relaxed structure of RbSn from Alexandria. Energies are from PBE-GGA.

Unit cell a=8.331 b=8.331 c=8.132 alpha=90.00 beta=90.00 gamma=139.01
Fractional coordinates of all 8 atoms:
Rb (0.068, 0.932, 0.750)
Rb (0.225, 0.775, 0.250)
Rb (0.775, 0.225, 0.750)
Rb (0.932, 0.068, 0.250)
Sn (0.416, 0.584, 0.575)
Sn (0.416, 0.584, 0.925)
Sn (0.584, 0.416, 0.075)
Sn (0.584, 0.416, 0.425)

- uncorrected energy (eV per cell) = -21.34
- D(E_F) (states/eV per cell) = 6.58
- volume (A^3/atom) = 46.28

***

2.
Here is a relaxed structure of KPt6Pb6 from Alexandria. Energies are from PBE-GGA.

Unit cell a=7.645 b=7.645 c=7.645 alpha=135.64 beta=98.49 gamma=97.90
Fractional coordinates of all 13 atoms:
K (0.000, 0.000, 0.000)
Pt (0.000, 0.000, 0.500)
Pt (0.000, 0.500, 0.000)
Pt (0.236, 0.736, 0.500)
Pt (0.500, 0.000, 0.000)
Pt (0.500, 0.500, 0.500)
Pt (0.764, 0.264, 0.500)
Pb (0.174, 0.500, 0.674)
Pb (0.337, 0.337, 0.000)
Pb (0.340, 0.000, 0.340)
Pb (0.660, 0.000, 0.660)
Pb (0.663, 0.663, 0.000)
Pb (0.826, 0.500, 0.326)

- uncorrected energy (eV per cell) = -61.35
- D(E_F) (states/eV per cell) = 9.17
- volume (A^3/atom) = 22.25

***

3.
Here is a relaxed structure of ZnCd2Cu from Alexandria. Energies are from PBE-GGA.

Unit cell a=4.896 b=4.896 c=4.896 alpha=128.34 beta=128.34 gamma=76.08
Fractional coordinates of all 4 atoms:
Zn (0.000, 0.000, 0.000)
Cd (0.250, 0.750, 0.500)
Cd (0.750, 0.250, 0.500)
Cu (0.500, 0.500, 0.000)

- uncorrected energy (eV per cell) = -6.81
- D(E_F) (states/eV per cell) = 1.48
- volume (A^3/atom) = 17.55

***

4.
Here is a relaxed structure of Cs2TlZn from Alexandria. Energies are from PBE-GGA.

Unit cell a=13.254 b=13.254 c=13.254 alpha=19.11 beta=19.11 gamma=19.11
Fractional coordinates of all 4 atoms:
Cs (0.097, 0.097, 0.097)
Cs (0.903, 0.903, 0.903)
Tl (0.000, 0.000, 0.000)
Zn (0.500, 0.500, 0.500)

- uncorrected energy (eV per cell) = -4.02
- D(E_F) (states/eV per cell) = 4.06
- volume (A^3/atom) = 54.51

***

5.
Here is a relaxed structure of NaTePb3 from Alexandria. Energies are from PBE-GGA.

Unit cell a=5.573 b=5.573 c=5.573 alpha=90.00 beta=90.00 gamma=90.00
Fractional coordinates of all 5 atoms:
Na (0.000, 0.000, 0.000)
Te (0.500, 0.500, 0.500)
Pb (0.000, 0.000, 0.500)
Pb (0.000, 0.500, 0.000)
Pb (0.500, 0.000, 0.000)

- formation energy (no corrections) (meV/atom) = 426
- D(E_F) (states/eV per cell) = 3.66
- volume (A^3/atom) = 34.61